Compound: Tb2Y3Se6
Source: Alexandria via LeMat-Bulk
Functional: GGA-PBE
Structure: optimized geometry

Properties
- Offset from the most stable computed form: 0 meV per atom
- Magnetic moment: 0.00 μB per atom
- DOS(E_F): 4.5 states/eV/f.u.
- Formation energy from raw total energies: -1877 meV per atom
- Calculated volume: 26.0 A^3/atom

Cell: 7.045 7.045 7.042 Å, 99.64 99.64 119.78°
Positions (direct):
Tb 0.165 0.835 0.000
Tb 0.835 0.165 0.000
Y 0.000 0.000 0.500
Y 0.335 0.665 0.500
Y 0.665 0.335 0.500
Se 0.089 0.418 0.752
Se 0.255 0.255 0.245
Se 0.418 0.089 0.752
Se 0.582 0.911 0.248
Se 0.745 0.745 0.755
Se 0.911 0.582 0.248